LiTe2Cl: relaxed, GGA-PBE.

It has space group Fm-3m (No. 225), with a = 7.281 Å, b = 7.281 Å, c = 7.281 Å, α = 90.00°, β = 90.00° and γ = 90.00°. Symmetry generates all atoms from Li at (0.000, 0.000, 0.000), Te at (0.250, 0.250, 0.250) and Cl at (0.000, 0.000, 0.500).

The calculated total energy is -0.1862 Ry per atom. The calculation puts the relative energy among the computed polymorphs at 696 meV per atom. The total moment comes out at 0.0 μB per cell.